# 1
Entry from Alexandria via LeMat-Bulk: an optimized crystal structure of Ti2TlO4 (GGA-PBE).

a = 7.454 Å, b = 7.454 Å, c = 5.172 Å
α = 106.04°, β = 106.04°, γ = 23.41°
Positions (direct):
1 Ti 0.241 0.241 0.241
2 Ti 0.759 0.759 0.759
3 Tl 0.500 0.500 0.500
4 O 0.179 0.179 0.854
5 O 0.325 0.325 0.637
6 O 0.675 0.675 0.363
7 O 0.821 0.821 0.146

Uncorrected formation energy in eV per formula unit: -17.27
Calculated total energy in eV/f.u.: -55.26
Total moment in Bohr magnetons per cell: 0.76
Symmetry: C2/m, No. 12
Distance to the lowest polymorph of the same formula in meV per atom: 0

=====

# 2
Entry from Alexandria via LeMat-Bulk: an optimized crystal structure of TiTl2O5 (GGA-PBE).

a = 7.561 Å, b = 3.633 Å, c = 15.606 Å
α = 90.00°, β = 90.00°, γ = 90.00°
Positions (direct):
1 Ti 0.102 0.250 0.076
2 Ti 0.398 0.750 0.576
3 Ti 0.602 0.250 0.424
4 Ti 0.898 0.750 0.924
5 Tl 0.104 0.250 0.419
6 Tl 0.174 0.250 0.759
7 Tl 0.326 0.750 0.259
8 Tl 0.396 0.750 0.919
9 Tl 0.604 0.250 0.081
10 Tl 0.674 0.250 0.741
11 Tl 0.826 0.750 0.241
12 Tl 0.896 0.750 0.581
13 O 0.061 0.750 0.325
14 O 0.070 0.750 0.046
15 O 0.126 0.750 0.852
16 O 0.161 0.750 0.507
17 O 0.230 0.250 0.175
18 O 0.270 0.750 0.675
19 O 0.339 0.250 0.007
20 O 0.374 0.250 0.352
21 O 0.430 0.250 0.546
22 O 0.439 0.250 0.825
23 O 0.561 0.750 0.175
24 O 0.570 0.750 0.454
25 O 0.626 0.750 0.648
26 O 0.661 0.750 0.993
27 O 0.730 0.250 0.325
28 O 0.770 0.750 0.825
29 O 0.839 0.250 0.493
30 O 0.874 0.250 0.148
31 O 0.930 0.250 0.954
32 O 0.939 0.250 0.675

Uncorrected formation energy in eV per formula unit: -12.47
Calculated total energy in eV/f.u.: -49.89
Total moment in Bohr magnetons per cell: 0.00
Symmetry: Pnma, No. 62